Computed, not measured: AlV2BiO8 after structural relaxation at the PBE with a Hubbard U level of DFT.

Values from the calculation:
- Spin magnetization: 0.000 μB per formula unit
- E_tot: -85.43 eV/cell
- Space group: P-3m1 (164)
- Crystal system: trigonal

Lattice parameters (Å, degrees): 5.5509 5.5509 6.2327 90.00 90.00 120.00
Closest atoms and distances in Å follow each position.
Element x y z (fractional)
Al (0.0000, 0.0000, 0.0000)  6 O 1.91
V (0.3333, 0.6667, 0.2680)  4 O 1.66-1.78
V (0.6667, 0.3333, 0.7320)  4 O 1.66-1.78
Bi (0.0000, 0.0000, 0.5000)  6 O 2.44
O (0.1554, 0.3109, 0.1915)  1 V 1.78, 1 Al 1.91
O (0.1554, 0.8446, 0.1915)  1 V 1.78, 1 Al 1.91
O (0.3109, 0.1554, 0.8085)  1 V 1.78, 1 Al 1.91
O (0.3333, 0.6667, 0.5342)  1 V 1.66
O (0.6667, 0.3333, 0.4658)  1 V 1.66
O (0.6891, 0.8446, 0.1915)  1 V 1.78, 1 Al 1.91
O (0.8446, 0.1554, 0.8085)  1 V 1.78, 1 Al 1.91
O (0.8446, 0.6891, 0.8085)  1 V 1.78, 1 Al 1.91